# 1
# TaFe3Pd PBE optimized geometry
data_TaFe3Pd
_chemical_formula_sum 'Ta1 Fe3 Pd1'
_cell_length_a 4.486
_cell_length_b 4.486
_cell_length_c 4.486
_cell_angle_alpha 90.00
_cell_angle_beta 90.00
_cell_angle_gamma 90.00
_symmetry_space_group_name_H-M 'P m -3 m'
_symmetry_Int_Tables_number 221
_symmetry_space_group_name_Hall '-P 4 2 3'
loop_
_atom_site_label
_atom_site_type_symbol
_atom_site_fract_x
_atom_site_fract_y
_atom_site_fract_z
_atom_site_occupancy
Ta1 Ta 0.000 0.000 0.000 1
Fe1 Fe 0.000 0.000 0.500 1
Pd1 Pd 0.500 0.500 0.500 1
# Total energy = -7.041 eV per atom
# DFT formation energy = 1.446 eV/atom

# 2
# Na2SrCuBr5 PBE optimized geometry
data_Na2SrCuBr5
_chemical_formula_sum 'Na8 Sr4 Cu4 Br20'
_cell_length_a 4.230
_cell_length_b 19.674
_cell_length_c 13.208
_cell_angle_alpha 90.00
_cell_angle_beta 90.00
_cell_angle_gamma 90.00
_symmetry_space_group_name_H-M 'C m c 21'
_symmetry_Int_Tables_number 36
loop_
_symmetry_equiv_pos_as_xyz
'x,y,z'
'-x,-y,z+1/2'
'-x,y,z'
'x,-y,z+1/2'
'x+1/2,y+1/2,z'
'-x+1/2,-y+1/2,z+1/2'
'-x+1/2,y+1/2,z'
'x+1/2,-y+1/2,z+1/2'
loop_
_atom_site_label
_atom_site_type_symbol
_atom_site_fract_x
_atom_site_fract_y
_atom_site_fract_z
_atom_site_occupancy
Na1 Na 0.000 0.074 0.000 1
Na2 Na 0.000 0.103 0.689 1
Sr1 Sr 0.000 0.203 0.386 1
Cu1 Cu 0.000 0.429 0.770 1
Br1 Br 0.000 0.046 0.363 1
Br2 Br 0.000 0.307 0.722 1
Br3 Br 0.000 0.311 0.048 1
Br4 Br 0.000 0.360 0.365 1
Br5 Br 0.000 0.499 0.616 1
# Total energy = -3.280 eV per atom
# Raw formation energy = -12.7 eV per formula unit